This record from Alexandria describes Sm2Er2Bi2P after structural relaxation. The functional is PBE.

Results
As for the total energy: -37.5 eV per formula unit. For the magnetization, the calculation gives 0.00 μB per cell. The value obtained for the mass density is 8.4 g/cm3. The calculated volume is 214.8 Å³/cell.

Unit cell a=8.9924 b=8.9924 c=8.9924 alpha=147.00 beta=147.00 gamma=47.36
Element x y z (fractional)
Sm (0.1671, 0.1671, 0.0000)
Sm (0.8329, 0.8329, 0.0000)
Er (0.0000, 0.5000, 0.5000)
Er (0.5000, 0.0000, 0.5000)
Bi (0.3644, 0.3644, 0.0000)
Bi (0.6356, 0.6356, 0.0000)
P (0.0000, 0.0000, 0.0000)